No. 1
# Ba2BePtRh | the Alexandria database | PBE | optimized geometry
data_Ba2BePtRh
_cell_length_a 5.8448
_cell_length_b 5.8448
_cell_length_c 4.2357
_cell_angle_alpha 90.00
_cell_angle_beta 90.00
_cell_angle_gamma 90.00
_space_group_name_H-M_alt 'P 4/m m m'
_space_group_IT_number 123
_space_group_name_Hall '-P 4 2'
loop_
_atom_site_label
_atom_site_fract_x
_atom_site_fract_y
_atom_site_fract_z
Ba1 0.0000 0.5000 0.0000
Be1 0.0000 0.0000 0.5000
Pt1 0.5000 0.5000 0.5000
Rh1 0.0000 0.0000 0.0000
# **Formation enthalpy at 0 K**: -78 meV/atom
# **M_tot**: 0.00 μB per cell

No. 2
# Sr4Pd2Au | the Alexandria database | PBE | optimized geometry
data_Sr4Pd2Au
_cell_length_a 12.3123
_cell_length_b 9.3620
_cell_length_c 8.3562
_cell_angle_alpha 90.00
_cell_angle_beta 109.60
_cell_angle_gamma 90.00
_space_group_name_H-M_alt 'C 1 m 1'
_space_group_IT_number 8
loop_
_space_group_symop_operation_xyz
'x,y,z'
'x,-y,z'
'x+1/2,y+1/2,z'
'x+1/2,-y+1/2,z'
loop_
_atom_site_label
_atom_site_fract_x
_atom_site_fract_y
_atom_site_fract_z
Sr1 0.0000 0.0000 0.0000
Sr2 0.0011 0.5000 0.5111
Sr3 0.0069 0.0000 0.5109
Sr4 0.2650 0.2420 0.1396
Sr5 0.2779 0.2437 0.6430
Sr6 0.4959 0.0000 0.9958
Pd1 0.0608 0.2495 0.7857
Pd2 0.2140 0.0000 0.8633
Pd3 0.2204 0.0000 0.3646
Au1 0.2174 0.5000 0.3628
Au2 0.2168 0.5000 0.8649
# **Formation enthalpy at 0 K**: -598 meV/atom
# **M_tot**: 0.00 μB per cell

No. 3
# TaCoPt2 | the Alexandria database | PBE | optimized geometry
data_TaCoPt2
_cell_length_a 6.2147
_cell_length_b 6.2147
_cell_length_c 6.2147
_cell_angle_alpha 90.00
_cell_angle_beta 90.00
_cell_angle_gamma 90.00
_space_group_name_H-M_alt 'F -4 3 m'
_space_group_IT_number 216
_space_group_name_Hall 'F -4 2 3'
loop_
_atom_site_label
_atom_site_fract_x
_atom_site_fract_y
_atom_site_fract_z
Ta1 0.0000 0.0000 0.0000
Co1 0.2500 0.2500 0.7500
Pt1 0.0000 0.0000 0.5000
Pt2 0.2500 0.2500 0.2500
# **Formation enthalpy at 0 K**: -294 meV/atom
# **M_tot**: 0.09 μB per cell

No. 4
# CuB3As | the Alexandria database | PBE | optimized geometry
data_CuB3As
_cell_length_a 4.1007
_cell_length_b 4.1007
_cell_length_c 4.1007
_cell_angle_alpha 90.00
_cell_angle_beta 90.00
_cell_angle_gamma 90.00
_space_group_name_H-M_alt 'P m -3 m'
_space_group_IT_number 221
_space_group_name_Hall '-P 4 2 3'
loop_
_atom_site_label
_atom_site_fract_x
_atom_site_fract_y
_atom_site_fract_z
Cu1 0.0000 0.0000 0.0000
B1 0.0000 0.5000 0.5000
As1 0.5000 0.5000 0.5000
# **Formation enthalpy at 0 K**: 1989 meV/atom
# **M_tot**: 0.00 μB per cell

What N(E_F) values result from the calculations? In sequence: 1.88, 2.75, 2.63, 2.36 states/eV/f.u..